A plane-wave DFT calculation with PBE-GGA was carried out for an optimized crystal structure of YP2CCl.

Properties
DFT total energy	-4.15	eV/atom
ρ	2.17	Mg/m³
formation energy from raw total energies	147	kJ/mol of atoms

POSCAR file:
```
YP2CCl
1.0
5.449 0.000 0.000
0.000 5.449 0.000
0.000 0.000 5.120
Y P C Cl
1 2 1 1
Cartesian
0.000 0.000 0.000
0.000 2.725 0.000
2.725 0.000 0.000
2.725 2.725 2.560
0.000 0.000 2.560
```

A plane-wave DFT calculation with PBE-GGA was carried out for an optimized crystal structure of YPCCl2.

Properties
DFT total energy	-4.14	eV/atom
ρ	2.87	Mg/m³
formation energy from raw total energies	79	kJ/mol of atoms

POSCAR file:
```
YPCCl2
1.0
4.516 0.000 0.000
0.000 4.516 0.000
0.000 0.000 5.760
Y P C Cl
1 1 1 2
Cartesian
0.000 0.000 0.000
0.000 0.000 2.880
2.258 2.258 0.000
0.000 2.258 2.880
2.258 0.000 2.880
```

A plane-wave DFT calculation with PBE-GGA was carried out for an optimized crystal structure of Y6PC2Cl3.

Properties
DFT total energy	-6.92	eV/atom
ρ	4.55	Mg/m³
formation energy from raw total energies	-120	kJ/mol of atoms

POSCAR file:
```
Y6PC2Cl3
1.0
3.279 -5.681 0.000
3.279 5.681 0.000
-2.182 0.000 6.803
Y P C Cl
6 1 2 3
Cartesian
-0.071 2.024 5.497
0.943 0.000 1.306
-0.071 -2.024 5.497
4.448 2.024 1.306
3.433 0.000 5.496
4.448 -2.024 1.306
3.279 0.000 0.000
3.279 3.789 0.000
3.279 -3.789 0.000
-1.091 0.000 3.401
2.188 1.888 3.401
2.188 -1.888 3.401
```